Entry from Alexandria via LeMat-Bulk: a relaxed Li5Cd2AgPb2 crystal (PBE).

Lattice parameters (Å, degrees): 10.6893 10.6893 3.6561 90.00 90.00 90.00
Closest atoms and distances in Å follow each position.
Atoms (fractional coordinates):
1 Li 0.0000 0.5000 0.0000  4 Cd 2.76
2 Li 0.0307 0.1917 0.0000  2 Ag 2.77, 2 Cd 2.83, 2 Li 2.94
3 Li 0.1917 0.9693 0.0000  2 Ag 2.77, 2 Cd 2.83, 2 Li 2.94
4 Li 0.3083 0.4693 0.0000  2 Ag 2.77, 2 Cd 2.83, 2 Li 2.94
5 Li 0.4693 0.6917 0.0000  2 Ag 2.77, 2 Cd 2.83, 2 Li 2.94
6 Li 0.5000 0.0000 0.0000  4 Cd 2.76
7 Li 0.5307 0.3083 0.0000  2 Ag 2.77, 2 Cd 2.83, 2 Li 2.94
8 Li 0.6917 0.5307 0.0000  2 Ag 2.77, 2 Cd 2.83, 2 Li 2.94
9 Li 0.8083 0.0307 0.0000  2 Ag 2.77, 2 Cd 2.83, 2 Li 2.94
10 Li 0.9693 0.8083 0.0000  2 Ag 2.77, 2 Cd 2.83, 2 Li 2.94
11 Cd 0.1364 0.3636 0.5000  6 Li 2.76-2.83, 1 Pb 2.98
12 Cd 0.3636 0.8636 0.5000  6 Li 2.76-2.83, 1 Pb 2.98
13 Cd 0.6364 0.1364 0.5000  6 Li 2.76-2.83, 1 Pb 2.98
14 Cd 0.8636 0.6364 0.5000  6 Li 2.76-2.83, 1 Pb 2.98
15 Ag 0.0000 0.0000 0.5000  8 Li 2.77
16 Ag 0.5000 0.5000 0.5000  8 Li 2.77
17 Pb 0.1662 0.6662 0.5000  3 Cd 2.98-3.25, 6 Li 3.11-3.17
18 Pb 0.3338 0.1662 0.5000  3 Cd 2.98-3.25, 6 Li 3.11-3.17
19 Pb 0.6662 0.8338 0.5000  3 Cd 2.98-3.25, 6 Li 3.11-3.17
20 Pb 0.8338 0.3338 0.5000  3 Cd 2.98-3.25, 6 Li 3.11-3.17

Output
- Energy relative to the elements: -0.146 eV/atom
- SG: P4/mbm (127)

Entry from Alexandria via LeMat-Bulk: a relaxed Ni2IrAu crystal (PBE).

Lattice parameters (Å, degrees): 6.0825 6.0825 6.0825 90.00 90.00 90.00
Closest atoms and distances in Å follow each position.
Atoms (fractional coordinates):
1 Ni 0.0000 0.0000 0.0000  4 Ni 2.63, 4 Ir 2.63
2 Ni 0.0000 0.5000 0.5000  4 Ni 2.63, 4 Ir 2.63
3 Ni 0.2500 0.2500 0.2500  4 Ni 2.63, 4 Au 2.63
4 Ni 0.2500 0.7500 0.7500  4 Ni 2.63, 4 Au 2.63
5 Ni 0.5000 0.0000 0.5000  4 Ni 2.63, 4 Ir 2.63
6 Ni 0.5000 0.5000 0.0000  4 Ni 2.63, 4 Ir 2.63
7 Ni 0.7500 0.2500 0.7500  4 Ni 2.63, 4 Au 2.63
8 Ni 0.7500 0.7500 0.2500  4 Ni 2.63, 4 Au 2.63
9 Ir 0.2500 0.2500 0.7500  4 Ni 2.63, 4 Au 2.63
10 Ir 0.2500 0.7500 0.2500  4 Ni 2.63, 4 Au 2.63
11 Ir 0.7500 0.2500 0.2500  4 Ni 2.63, 4 Au 2.63
12 Ir 0.7500 0.7500 0.7500  4 Au 2.63, 4 Ni 2.63
13 Au 0.0000 0.0000 0.5000  4 Ni 2.63, 4 Ir 2.63
14 Au 0.0000 0.5000 0.0000  4 Ni 2.63, 4 Ir 2.63
15 Au 0.5000 0.0000 0.0000  4 Ni 2.63, 4 Ir 2.63
16 Au 0.5000 0.5000 0.5000  4 Ir 2.63, 4 Ni 2.63

Output
- E above lowest polymorph: 312 meV/atom
- Energy relative to the elements: 0.383 eV/atom
- SG: F-43m (216)

Entry from Alexandria via LeMat-Bulk: a relaxed CeTm3Zn4 crystal (PBE).

Lattice parameters (Å, degrees): 8.6719 8.6719 8.6719 33.67 33.67 33.67
Closest atoms and distances in Å follow each position.
Atoms (fractional coordinates):
1 Ce 0.0000 0.0000 0.0000  8 Zn 3.09
2 Tm 0.2499 0.2499 0.2499  8 Zn 3.04-3.11
3 Tm 0.5000 0.5000 0.5000  8 Zn 3.02-3.07
4 Tm 0.7501 0.7501 0.7501  8 Zn 3.04-3.11
5 Zn 0.1261 0.1261 0.1261  7 Tm 3.04-3.08, 1 Ce 3.09
6 Zn 0.3768 0.3768 0.3768  5 Tm 3.02-3.11, 3 Ce 3.09
7 Zn 0.6232 0.6232 0.6232  5 Tm 3.02-3.11, 3 Ce 3.09
8 Zn 0.8739 0.8739 0.8739  7 Tm 3.04-3.08, 1 Ce 3.09

Output
- Energy relative to the elements: -0.298 eV/atom
- SG: R-3m (166)

Entry from Alexandria via LeMat-Bulk: a relaxed SrAu2S4O16 crystal (PBE).

Lattice parameters (Å, degrees): 9.4201 9.4201 10.8252 103.60 103.60 115.93
Closest atoms and distances in Å follow each position.
Atoms (fractional coordinates):
1 Sr 0.1261 0.8739 0.7500  8 O 2.51-2.73
2 Sr 0.8739 0.1261 0.2500  8 O 2.51-2.73
3 Au 0.0000 0.5000 0.0000  4 O 2.04
4 Au 0.5000 0.0000 0.5000  4 O 2.04
5 Au 0.5000 0.5000 0.0000  4 O 2.04
6 Au 0.5000 0.5000 0.5000  4 O 2.04
7 S 0.1521 0.2637 0.0131  4 O 1.45-1.55
8 S 0.2445 0.6339 0.4775  4 O 1.45-1.55
9 S 0.2637 0.1521 0.5131  4 O 1.45-1.55
10 S 0.3661 0.7555 0.0225  4 O 1.45-1.55
11 S 0.6339 0.2445 0.9775  4 O 1.45-1.55
12 S 0.7363 0.8479 0.4869  4 O 1.45-1.55
13 S 0.7555 0.3661 0.5225  4 O 1.45-1.55
14 S 0.8479 0.7363 0.9869  4 O 1.45-1.55
15 O 0.0543 0.3203 0.9199  1 S 1.55
16 O 0.0826 0.2268 0.1151  1 S 1.45
17 O 0.1127 0.4686 0.3706  1 S 1.45
18 O 0.1267 0.1498 0.4158  1 S 1.45
19 O 0.1498 0.1267 0.9158  1 S 1.45
20 O 0.1944 0.7196 0.5726  1 S 1.45
21 O 0.2268 0.0826 0.6151  1 S 1.45
22 O 0.2550 0.6793 0.1012  1 S 1.54
23 O 0.2804 0.8056 0.9274  1 S 1.45
24 O 0.3203 0.0543 0.4199  1 S 1.55
25 O 0.3207 0.7450 0.3988  1 S 1.54
26 O 0.3386 0.4142 0.0979  1 S 1.55
27 O 0.3771 0.6134 0.9267  1 S 1.55
28 O 0.3866 0.6229 0.5733  1 S 1.55
29 O 0.4142 0.3386 0.5979  1 S 1.55
30 O 0.4686 0.1127 0.8706  1 S 1.45
31 O 0.5314 0.8873 0.1294  1 S 1.45
32 O 0.5858 0.6614 0.4021  1 S 1.55
33 O 0.6134 0.3771 0.4267  1 S 1.55
34 O 0.6229 0.3866 0.0733  1 S 1.55
35 O 0.6614 0.5858 0.9021  1 S 1.55
36 O 0.6793 0.2550 0.6012  1 S 1.54
37 O 0.6797 0.9457 0.5801  1 S 1.55
38 O 0.7196 0.1944 0.0726  1 S 1.45
39 O 0.7450 0.3207 0.8988  1 S 1.54
40 O 0.7732 0.9174 0.3849  1 S 1.45
41 O 0.8056 0.2804 0.4274  1 S 1.45
42 O 0.8502 0.8733 0.0842  1 S 1.45
43 O 0.8733 0.8502 0.5842  1 S 1.45
44 O 0.8873 0.5314 0.6294  1 S 1.45
45 O 0.9174 0.7732 0.8849  1 S 1.45
46 O 0.9457 0.6797 0.0801  1 S 1.55

Output
- SG: C2/c (15)
- Uncorrected formation energy: -1.2601 eV/atom